Entry 1:
Below is crystalline HoZnNi at its relaxed geometry, with properties calculated at the GGA-PBE level.

abc: 12.253 3.770 6.992
angles: 90.00 90.00 90.00
Positions (direct):
Ho: 0.045 0.000 0.250
Ho: 0.250 0.000 0.639
Ho: 0.455 0.000 0.250
Ho: 0.545 0.000 0.750
Ho: 0.750 0.000 0.361
Ho: 0.955 0.000 0.750
Zn: 0.131 0.500 0.923
Zn: 0.250 0.500 0.292
Zn: 0.369 0.500 0.923
Zn: 0.631 0.500 0.077
Zn: 0.750 0.500 0.708
Zn: 0.869 0.500 0.077
Ni: 0.092 0.500 0.552
Ni: 0.250 0.000 0.053
Ni: 0.408 0.500 0.552
Ni: 0.592 0.500 0.448
Ni: 0.750 0.000 0.947
Ni: 0.908 0.500 0.448

Values from the calculation:
The calculation puts the total DFT energy (no corrections) at -4.3302 eV per atom.

***

Entry 2:
Below is crystalline Ho12Zn6Ni at its relaxed geometry, with properties calculated at the GGA-PBE level.

abc: 7.931 7.931 7.931
angles: 93.49 93.49 93.49
Positions (direct):
Ho: 0.047 0.699 0.930
Ho: 0.070 0.953 0.301
Ho: 0.184 0.535 0.403
Ho: 0.301 0.070 0.953
Ho: 0.403 0.184 0.535
Ho: 0.465 0.597 0.816
Ho: 0.535 0.403 0.184
Ho: 0.597 0.816 0.465
Ho: 0.699 0.930 0.047
Ho: 0.816 0.465 0.597
Ho: 0.930 0.047 0.699
Ho: 0.953 0.301 0.070
Zn: 0.153 0.360 0.761
Zn: 0.239 0.847 0.640
Zn: 0.360 0.761 0.153
Zn: 0.640 0.239 0.847
Zn: 0.761 0.153 0.360
Zn: 0.847 0.640 0.239
Ni: 0.500 0.500 0.500

Values from the calculation:
The calculation puts the total DFT energy (no corrections) at -3.7154 eV per atom.

***

Entry 3:
Below is crystalline Ho2Zn3Ni at its relaxed geometry, with properties calculated at the GGA-PBE level.

abc: 3.545 4.322 7.570
angles: 90.00 90.00 90.00
Positions (direct):
Ho: 0.000 0.000 0.000
Ho: 0.000 0.500 0.452
Zn: 0.500 0.000 0.635
Zn: 0.500 0.500 0.139
Zn: 0.500 0.500 0.804
Ni: 0.500 0.000 0.305

Values from the calculation:
The calculation puts the total DFT energy (no corrections) at -3.5169 eV per atom.

***

Entry 4:
Below is crystalline Ho2Zn6Ni3 at its relaxed geometry, with properties calculated at the GGA-PBE level.

abc: 7.405 7.405 3.873
angles: 90.00 90.00 120.00
Positions (direct):
Ho: 0.333 0.667 0.000
Ho: 0.667 0.333 0.000
Zn: 0.000 0.282 0.500
Zn: 0.000 0.800 0.000
Zn: 0.200 0.200 0.000
Zn: 0.282 0.000 0.500
Zn: 0.718 0.718 0.500
Zn: 0.800 0.000 0.000
Ni: 0.000 0.607 0.500
Ni: 0.393 0.393 0.500
Ni: 0.607 0.000 0.500

Values from the calculation:
The calculation puts the total DFT energy (no corrections) at -3.3906 eV per atom.

***

Entry 5:
Below is crystalline HoZnNi at its relaxed geometry, with properties calculated at the GGA-PBE level.

abc: 4.386 4.386 4.386
angles: 60.00 60.00 60.00
Positions (direct):
Ho: 0.000 0.000 0.000
Zn: 0.500 0.500 0.500
Ni: 0.250 0.250 0.250

Values from the calculation:
The calculation puts the total DFT energy (no corrections) at -4.1540 eV per atom.

***

Entry 6:
Below is crystalline HoZnNi3 at its relaxed geometry, with properties calculated at the GGA-PBE level.

abc: 8.347 8.347 4.498
angles: 90.00 90.00 147.91
Positions (direct):
Ho: 0.086 0.914 0.750
Ho: 0.914 0.086 0.250
Zn: 0.363 0.637 0.750
Zn: 0.637 0.363 0.250
Ni: 0.030 0.491 0.250
Ni: 0.491 0.030 0.750
Ni: 0.500 0.500 0.000
Ni: 0.500 0.500 0.500
Ni: 0.509 0.970 0.250
Ni: 0.970 0.509 0.750

Values from the calculation:
The calculation puts the total DFT energy (no corrections) at -4.6488 eV per atom.

***

Entry 7:
Below is crystalline Ho2ZnNi3 at its relaxed geometry, with properties calculated at the GGA-PBE level.

abc: 8.194 7.964 5.496
angles: 72.39 67.87 39.74
Positions (direct):
Ho: 0.247 0.753 0.753
Ho: 0.250 0.250 0.250
Ho: 0.750 0.750 0.750
Ho: 0.753 0.247 0.247
Zn: 0.334 0.334 0.666
Zn: 0.666 0.666 0.334
Ni: 0.164 0.670 0.330
Ni: 0.165 0.165 0.835
Ni: 0.330 0.836 0.164
Ni: 0.670 0.164 0.836
Ni: 0.835 0.835 0.165
Ni: 0.836 0.330 0.670

Values from the calculation:
The calculation puts the total DFT energy (no corrections) at -5.0158 eV per atom.

***

Entry 8:
Below is crystalline Ho2ZnNi3 at its relaxed geometry, with properties calculated at the GGA-PBE level.

abc: 5.061 5.061 5.061
angles: 62.40 62.40 62.40
Positions (direct):
Ho: 0.126 0.126 0.126
Ho: 0.874 0.874 0.874
Zn: 0.500 0.500 0.500
Ni: 0.000 0.500 0.500
Ni: 0.500 0.000 0.500
Ni: 0.500 0.500 0.000

Values from the calculation:
The calculation puts the total DFT energy (no corrections) at -5.0430 eV per atom.

***

Entry 9:
Below is crystalline Ho2ZnNi at its relaxed geometry, with properties calculated at the GGA-PBE level.

abc: 4.883 4.883 4.883
angles: 60.00 60.00 60.00
Positions (direct):
Ho: 0.250 0.250 0.250
Ho: 0.750 0.750 0.750
Zn: 0.000 0.000 0.000
Ni: 0.500 0.500 0.500

Values from the calculation:
The calculation puts the total DFT energy (no corrections) at -4.4152 eV per atom.

***

Entry 10:
Below is crystalline Ho3Zn2Ni4 at its relaxed geometry, with properties calculated at the GGA-PBE level.

abc: 5.184 5.184 8.142
angles: 97.18 97.18 46.88
Positions (direct):
Ho: 0.000 0.000 0.000
Ho: 0.375 0.375 0.622
Ho: 0.625 0.625 0.378
Zn: 0.318 0.318 0.223
Zn: 0.682 0.682 0.777
Ni: 0.082 0.082 0.632
Ni: 0.270 0.270 0.916
Ni: 0.730 0.730 0.084
Ni: 0.918 0.918 0.368

Values from the calculation:
The calculation puts the total DFT energy (no corrections) at -4.8283 eV per atom.

***

Entry 11:
Below is crystalline Ho6Zn2Ni at its relaxed geometry, with properties calculated at the GGA-PBE level.

abc: 8.331 8.331 4.915
angles: 107.09 107.09 48.77
Positions (direct):
Ho: 0.086 0.595 0.341
Ho: 0.239 0.761 0.000
Ho: 0.405 0.914 0.659
Ho: 0.595 0.086 0.341
Ho: 0.761 0.239 0.000
Ho: 0.914 0.405 0.659
Zn: 0.333 0.333 0.833
Zn: 0.667 0.667 0.167
Ni: 0.000 0.000 0.500

Values from the calculation:
The calculation puts the total DFT energy (no corrections) at -4.0201 eV per atom.

***

Entry 12:
Below is crystalline Ho2Zn7Ni at its relaxed geometry, with properties calculated at the GGA-PBE level.

abc: 4.017 4.017 10.932
angles: 90.00 90.00 90.00
Positions (direct):
Ho: 0.000 0.500 0.239
Ho: 0.500 0.000 0.761
Zn: 0.000 0.000 0.000
Zn: 0.000 0.000 0.500
Zn: 0.000 0.500 0.645
Zn: 0.000 0.500 0.868
Zn: 0.500 0.000 0.132
Zn: 0.500 0.000 0.355
Zn: 0.500 0.500 0.500
Ni: 0.500 0.500 0.000

Values from the calculation:
The calculation puts the total DFT energy (no corrections) at -2.6670 eV per atom.

***

Sequential energy of formation output: -453 -118 -390 -287 -276 -10 -387 -414 -362 -450 -43 -282 meV/atom
Sequential density of states at the Fermi level output: 1.98 18.37 4.52 5.41 1.52 4.51 6.00 3.67 2.29 5.65 10.78 6.25 states/eV/f.u.